[1]
Density functional theory data (PBE) for YCoGeW after structural relaxation.

V (Å³/cell): 70.5
Offset from the most stable computed form (kJ/mol of atoms): 11.9
Magnetization (Bohr magnetons per cell): 3.5
SG: F-43m

abc: 4.638 4.638 4.638
angles: 60.00 60.00 60.00
Element x y z (fractional)
Y 0.000 0.000 0.000
Co 0.500 0.500 0.500
Ge 0.250 0.250 0.250
W 0.750 0.750 0.750

***

[2]
Density functional theory data (PBE) for ErTmIn5 after structural relaxation.

V (Å³/cell): 183.6
Magnetization (Bohr magnetons per cell): 0.0
DFT total energy (eV/atom): -3.525
SG: P4/mmm

abc: 4.666 4.666 8.434
angles: 90.00 90.00 90.00
Element x y z (fractional)
Er 0.000 0.000 0.000
Tm 0.000 0.000 0.500
In 0.000 0.500 0.265
In 0.000 0.500 0.735
In 0.500 0.000 0.265
In 0.500 0.000 0.735
In 0.500 0.500 0.000

***

[3]
Density functional theory data (PBE) for CsSnAu3Se4 after structural relaxation.

V (Å³/cell): 303.3
Offset from the most stable computed form (kJ/mol of atoms): 17.6
SG: P-43m

abc: 6.719 6.719 6.719
angles: 90.00 90.00 90.00
Element x y z (fractional)
Cs 0.000 0.000 0.000
Sn 0.500 0.500 0.500
Au 0.000 0.500 0.500
Au 0.500 0.000 0.500
Au 0.500 0.500 0.000
Se 0.283 0.283 0.283
Se 0.283 0.717 0.717
Se 0.717 0.283 0.717
Se 0.717 0.717 0.283

***

[4]
Density functional theory data (PBE) for CoCuTcSb after structural relaxation.

V (Å³/cell): 58.7
Offset from the most stable computed form (kJ/mol of atoms): 0.0
Magnetization (Bohr magnetons per cell): 1.6
SG: F-43m

abc: 4.363 4.363 4.363
angles: 60.00 60.00 60.00
Element x y z (fractional)
Co 0.000 0.000 0.000
Cu 0.750 0.750 0.750
Tc 0.250 0.250 0.250
Sb 0.500 0.500 0.500

***

[5]
Density functional theory data (PBE) for LuMgCu after structural relaxation.

V (Å³/cell): 70.0
Magnetization (Bohr magnetons per cell): 0.0
DFT total energy (eV/atom): -2.770
SG: F-43m

abc: 4.626 4.626 4.626
angles: 60.00 60.00 60.00
Element x y z (fractional)
Lu 0.000 0.000 0.000
Mg 0.750 0.750 0.750
Cu 0.500 0.500 0.500

***

[6]
Density functional theory data (PBE) for ScCoCu4Ge2 after structural relaxation.

V (Å³/cell): 109.6
Offset from the most stable computed form (kJ/mol of atoms): 0.0
Magnetization (Bohr magnetons per cell): 1.0
SG: P4/mmm

abc: 4.292 4.292 5.950
angles: 90.00 90.00 90.00
Element x y z (fractional)
Sc 0.000 0.000 0.000
Co 0.500 0.500 0.500
Cu 0.000 0.500 0.272
Cu 0.000 0.500 0.728
Cu 0.500 0.000 0.272
Cu 0.500 0.000 0.728
Ge 0.000 0.000 0.500
Ge 0.500 0.500 0.000

***

[7]
Density functional theory data (PBE) for PrSiAu after structural relaxation.

V (Å³/cell): 83.7
Magnetization (Bohr magnetons per cell): 0.0
DFT total energy (eV/atom): -4.516
SG: F-43m

abc: 4.909 4.909 4.909
angles: 60.00 60.00 60.00
Element x y z (fractional)
Pr 0.000 0.000 0.000
Si 0.750 0.750 0.750
Au 0.250 0.250 0.250

***

[8]
Density functional theory data (PBE) for SrSmAs after structural relaxation.

V (Å³/cell): 92.5
Magnetization (Bohr magnetons per cell): 0.0
DFT total energy (eV/atom): -4.385
SG: F-43m

abc: 5.076 5.076 5.076
angles: 60.00 60.00 60.00
Element x y z (fractional)
Sr 0.000 0.000 0.000
Sm 0.500 0.500 0.500
As 0.750 0.750 0.750

***

[9]
Density functional theory data (PBE) for Ba2Os2O5 after structural relaxation.

V (Å³/cell): 132.8
Offset from the most stable computed form (kJ/mol of atoms): 0.0
Magnetization (Bohr magnetons per cell): 0.0
SG: P4/mmm

abc: 3.923 3.923 8.630
angles: 90.00 90.00 90.00
Element x y z (fractional)
Ba 0.000 0.000 0.000
Ba 0.000 0.000 0.500
Os 0.500 0.500 0.238
Os 0.500 0.500 0.762
O 0.000 0.500 0.236
O 0.000 0.500 0.764
O 0.500 0.000 0.236
O 0.500 0.000 0.764
O 0.500 0.500 0.500

***

[10]
Density functional theory data (PBE) for NdCoAg after structural relaxation.

Energy of formation (eV/atom): 0.204
V (Å³/cell): 68.0
Magnetization (Bohr magnetons per cell): 0.7
SG: F-43m

abc: 4.583 4.583 4.583
angles: 60.00 60.00 60.00
Element x y z (fractional)
Nd 0.000 0.000 0.000
Co 0.750 0.750 0.750
Ag 0.500 0.500 0.500

***

[11]
Density functional theory data (PBE) for TbThZn after structural relaxation.

Energy of formation (eV/atom): 0.125
V (Å³/cell): 87.2
Magnetization (Bohr magnetons per cell): 0.3
SG: F-43m

abc: 4.977 4.977 4.977
angles: 60.00 60.00 60.00
Element x y z (fractional)
Tb 0.000 0.000 0.000
Th 0.500 0.500 0.500
Zn 0.250 0.250 0.250

***

[12]
Density functional theory data (PBE) for LiReAuSe2S after structural relaxation.

V (Å³/cell): 245.3
Magnetization (Bohr magnetons per cell): 0.0
DFT total energy (eV/atom): -4.985
SG: Cmcm

abc: 8.068 8.068 9.082
angles: 90.00 90.00 155.48
Element x y z (fractional)
Li 0.212 0.788 0.750
Li 0.788 0.212 0.250
Re 0.500 0.500 0.000
Re 0.500 0.500 0.500
Au 0.163 0.837 0.250
Au 0.837 0.163 0.750
Se 0.125 0.875 0.514
Se 0.125 0.875 0.986
Se 0.875 0.125 0.014
Se 0.875 0.125 0.486
S 0.500 0.500 0.250
S 0.500 0.500 0.750

***

[13]
Density functional theory data (PBE) for ScAuSO after structural relaxation.

V (Å³/cell): 284.7
Offset from the most stable computed form (kJ/mol of atoms): 52.8
Magnetization (Bohr magnetons per cell): 0.0
SG: Pca2_1

abc: 6.162 8.726 5.295
angles: 90.00 90.00 90.00
Element x y z (fractional)
Sc 0.052 0.207 0.000
Sc 0.448 0.207 0.500
Sc 0.552 0.793 0.000
Sc 0.948 0.793 0.500
Au 0.111 0.637 0.005
Au 0.389 0.637 0.505
Au 0.611 0.363 0.005
Au 0.889 0.363 0.505
S 0.032 0.119 0.497
S 0.468 0.119 0.997
S 0.532 0.881 0.497
S 0.968 0.881 0.997
O 0.136 0.404 0.012
O 0.364 0.404 0.512
O 0.636 0.596 0.012
O 0.864 0.596 0.512

***

[14]
Density functional theory data (PBE) for Sc2Al2Cu2PtAu after structural relaxation.

V (Å³/cell): 128.1
Magnetization (Bohr magnetons per cell): 0.0
DFT total energy (eV/atom): -5.295
SG: P-4m2

abc: 4.486 4.486 6.366
angles: 90.00 90.00 90.00
Element x y z (fractional)
Sc 0.000 0.500 0.245
Sc 0.500 0.000 0.755
Al 0.000 0.500 0.757
Al 0.500 0.000 0.243
Cu 0.000 0.000 0.000
Cu 0.500 0.500 0.500
Pt 0.500 0.500 0.000
Au 0.000 0.000 0.500

***

[15]
Density functional theory data (PBE) for AlFe2Hg after structural relaxation.

V (Å³/cell): 58.4
Magnetization (Bohr magnetons per cell): 4.8
DFT total energy (eV/atom): -4.938
SG: F-43m

abc: 4.354 4.354 4.354
angles: 60.00 60.00 60.00
Element x y z (fractional)
Al 0.000 0.000 0.000
Fe 0.500 0.500 0.500
Fe 0.750 0.750 0.750
Hg 0.250 0.250 0.250

***

[16]
Density functional theory data (PBE) for BaLiGdS3 after structural relaxation.

V (Å³/cell): 295.4
Offset from the most stable computed form (kJ/mol of atoms): 1.4
Magnetization (Bohr magnetons per cell): 0.0
SG: C2/m

abc: 8.876 8.876 8.599
angles: 103.70 103.70 26.71
Element x y z (fractional)
Ba 0.136 0.136 0.065
Ba 0.864 0.864 0.935
Li 0.496 0.496 0.302
Li 0.504 0.504 0.698
Gd 0.164 0.164 0.583
Gd 0.836 0.836 0.417
S 0.000 0.000 0.500
S 0.330 0.330 0.201
S 0.332 0.332 0.635
S 0.500 0.500 0.000
S 0.668 0.668 0.365
S 0.670 0.670 0.799

***

[17]
Density functional theory data (PBE) for TbNdSi2 after structural relaxation.

V (Å³/cell): 184.2
Offset from the most stable computed form (kJ/mol of atoms): 0.5
Magnetization (Bohr magnetons per cell): 0.0
SG: P2_1/m

abc: 5.831 3.897 8.107
angles: 90.00 90.51 90.00
Element x y z (fractional)
Tb 0.114 0.250 0.321
Tb 0.886 0.750 0.679
Nd 0.385 0.250 0.820
Nd 0.615 0.750 0.180
Si 0.123 0.750 0.039
Si 0.373 0.750 0.534
Si 0.627 0.250 0.466
Si 0.877 0.250 0.961

***

[18]
Density functional theory data (PBE) for PrNdNO after structural relaxation.

V (Å³/cell): 161.3
Offset from the most stable computed form (kJ/mol of atoms): 47.3
Magnetization (Bohr magnetons per cell): 1.6
SG: P4/nmm

abc: 4.392 4.392 8.363
angles: 90.00 90.00 90.00
Element x y z (fractional)
Pr 0.250 0.750 0.000
Pr 0.750 0.250 0.000
Nd 0.250 0.250 0.390
Nd 0.750 0.750 0.610
N 0.250 0.250 0.864
N 0.750 0.750 0.136
O 0.250 0.750 0.500
O 0.750 0.250 0.500

***

[19]
Density functional theory data (PBE) for Cu2Ag after structural relaxation.

Energy of formation (eV/atom): 0.083
V (Å³/cell): 124.9
Offset from the most stable computed form (kJ/mol of atoms): 3.6
SG: C2/m

abc: 6.892 6.892 6.698
angles: 98.50 98.50 23.41
Element x y z (fractional)
Cu 0.045 0.045 0.349
Cu 0.169 0.169 0.971
Cu 0.390 0.390 0.340
Cu 0.610 0.610 0.660
Cu 0.831 0.831 0.029
Cu 0.955 0.955 0.651
Ag 0.288 0.288 0.682
Ag 0.500 0.500 0.000
Ag 0.712 0.712 0.318

***

[20]
Density functional theory data (PBE) for RbPaCuSe3 after structural relaxation.

V (Å³/cell): 338.6
Magnetization (Bohr magnetons per cell): 2.0
DFT total energy (eV/atom): -5.269
SG: Cmcm

abc: 7.919 7.919 10.755
angles: 90.00 90.00 149.87
Element x y z (fractional)
Rb 0.243 0.757 0.750
Rb 0.757 0.243 0.250
Pa 0.500 0.500 0.000
Pa 0.500 0.500 0.500
Cu 0.032 0.968 0.250
Cu 0.968 0.032 0.750
Se 0.123 0.877 0.062
Se 0.123 0.877 0.438
Se 0.438 0.562 0.250
Se 0.562 0.438 0.750
Se 0.877 0.123 0.562
Se 0.877 0.123 0.938